This record from Alexandria describes a geometry-optimized CaAl4Ni2 structure. The functional is GGA-PBE.

abc: 6.534 6.534 5.137
angles: 90.00 90.00 90.00
Space group I4/mmm (No. 139)
One atom of each set of equivalent atoms:
Ca 0.000 0.000 0.000 (multiplicity 2)
Al 0.199 0.199 0.500 (multiplicity 8)
Ni 0.000 0.500 0.250 (multiplicity 4)

Values from the calculation:
formation energy = -0.297 eV per atom

This record from Alexandria describes a geometry-optimized TmNp2ScAs4 structure. The functional is GGA-PBE.

abc: 6.995 4.023 7.011
angles: 90.00 109.34 90.00
Space group P2/m (No. 10)
One atom of each set of equivalent atoms:
Tm 0.000 0.000 0.000 (multiplicity 1)
Np 0.500 0.000 0.500 (multiplicity 1)
Np 0.500 0.500 0.000 (multiplicity 1)
Sc 0.000 0.500 0.500 (multiplicity 1)
As 0.240 0.000 0.742 (multiplicity 2)
As 0.244 0.500 0.253 (multiplicity 2)

Values from the calculation:
formation energy = -1.025 eV per atom

This record from Alexandria describes a geometry-optimized DyHg4Pb structure. The functional is GGA-PBE.

abc: 6.131 6.137 9.417
angles: 101.49 100.20 114.52
Space group P-1 (No. 2)
One atom of each set of equivalent atoms:
Dy 0.001 0.250 0.250 (multiplicity 2)
Hg 0.073 0.323 0.917 (multiplicity 2)
Hg 0.073 0.823 0.417 (multiplicity 2)
Hg 0.406 0.157 0.083 (multiplicity 2)
Hg 0.407 0.657 0.584 (multiplicity 2)
Pb 0.499 0.250 0.750 (multiplicity 2)

Values from the calculation:
formation energy = -0.198 eV per atom

Q: Look up the formation energy of the third one.
A: -0.198 eV per atom

Q: Look up the formation energy of the second one.
A: -1.025 eV per atom